16
Lattice="0.0000 6.6305 12.5062 3.9135 0.0000 12.5062 3.9135 6.6305 0.0000" Properties=species:S:1:pos:R:3 comment="Cs2HgMoSe4 PBE-GGA optimized geometry" space_group="Fddd, No. 70" magnetic_moment_mub_per_cell=0.00 total_energy_ev_per_atom=-4.0502 pbc="T T T"
Cs 2.9351 4.9729 1.3464
Cs 4.8919 8.2881 7.5996
Cs 2.9351 4.9729 17.4129
Cs 4.8919 8.2881 23.6661
Hg 0.9784 1.6576 3.1266
Hg 6.8486 11.6034 21.8859
Mo 2.9351 4.9729 9.3797
Mo 4.8919 8.2881 15.6328
Se 4.3715 3.6764 8.0546
Se 4.3715 6.2693 10.7048
Se 6.3282 6.9917 16.9579
Se 6.3282 9.5845 14.3077
Se 1.4987 3.6764 10.7048
Se 1.4987 6.2693 8.0546
Se 3.4555 6.9917 14.3077
Se 3.4555 9.5845 16.9579



8
Lattice="-4.5815 4.5815 4.1821 4.5815 -4.5815 4.1821 4.5815 4.5815 -4.1821" Properties=species:S:1:pos:R:3 comment="Cs2HgN PBE-GGA optimized geometry" space_group="I-42d, No. 122" magnetic_moment_mub_per_cell=2.00 total_energy_ev_per_atom=-2.0362 polymorph_energy_kcal_per_mol_atoms=0.00 pbc="T T T"
Cs 2.2907 1.3681 -1.0455
Cs 3.2134 -2.2907 5.2276
Cs 2.2907 3.2134 3.1366
Cs 1.3681 6.8722 1.0455
Hg 4.5815 0.0000 2.0910
Hg 0.0000 0.0000 4.1821
N 0.0000 0.0000 0.0000
N 0.0000 4.5815 2.0910